No. 1
# Ni2AgCl PBE optimized geometry
data_Ni2AgCl
_cell_length_a 6.007
_cell_length_b 6.007
_cell_length_c 6.007
_cell_angle_alpha 152.15
_cell_angle_beta 137.31
_cell_angle_gamma 51.75
_space_group_name_H-M_alt 'P 1'
_space_group_IT_number 1
loop_
_space_group_symop_operation_xyz
'x,y,z'
loop_
_atom_site_label
_atom_site_type_symbol
_atom_site_fract_x
_atom_site_fract_y
_atom_site_fract_z
_atom_site_occupancy
Cl1 Cl 0.183 0.683 0.500 1
Ni1 Ni 0.837 0.337 0.500 1
Ag1 Ag 0.461 0.461 0.000 1
Ni2 Ni 0.018 0.018 0.000 1
# **Raw formation energy**: 0.351 eV/atom
# **ρ**: 6.3 Mg/m³
# **N(E_F)**: 6.0 states/eV/f.u.
# **Relative energy among the computed polymorphs**: 205.3 meV/atom


No. 2
# Ba2HPb PBE optimized geometry
data_Ba2HPb
_cell_length_a 5.850
_cell_length_b 5.850
_cell_length_c 5.850
_cell_angle_alpha 60.00
_cell_angle_beta 60.00
_cell_angle_gamma 60.00
_space_group_name_H-M_alt 'P 1'
_space_group_IT_number 1
loop_
_space_group_symop_operation_xyz
'x,y,z'
loop_
_atom_site_label
_atom_site_type_symbol
_atom_site_fract_x
_atom_site_fract_y
_atom_site_fract_z
_atom_site_occupancy
Ba1 Ba 0.250 0.250 0.250 1
H1 H 0.000 0.000 0.000 1
Pb1 Pb 0.500 0.500 0.500 1
Ba2 Ba 0.750 0.750 0.750 1
# **ρ**: 5.7 Mg/m³
# **N(E_F)**: 7.3 states/eV/f.u.
# **Relative energy among the computed polymorphs**: 273.4 meV/atom